Entry 1:
A plane-wave DFT calculation with PBE was carried out for crystalline CdCoReGe at its relaxed geometry.

Summary:
E_tot, eV per atom: -5.689
Space group: F-43m (216)
Energy above the most stable polymorph in this dataset, meV/atom: 0

Cell and atoms, written as CIF:
```
data_CdCoReGe
_chemical_formula_sum 'Cd1 Co1 Re1 Ge1'
_cell_length_a 4.377
_cell_length_b 4.377
_cell_length_c 4.377
_cell_angle_alpha 60.00
_cell_angle_beta 60.00
_cell_angle_gamma 60.00
_symmetry_space_group_name_H-M 'P 1'
_symmetry_Int_Tables_number 1
_symmetry_space_group_name_Hall 'P 1'
loop_
_atom_site_label
_atom_site_type_symbol
_atom_site_fract_x
_atom_site_fract_y
_atom_site_fract_z
Cd1 Cd 0.000 0.000 0.000
Co1 Co 0.750 0.750 0.750
Re1 Re 0.250 0.250 0.250
Ge1 Ge 0.500 0.500 0.500
```

=====

Entry 2:
A plane-wave DFT calculation with PBE was carried out for crystalline TbBeAsO at its relaxed geometry.

Summary:
E_tot, eV per atom: -6.049
Space group: Pmc2_1 (26)
Energy above the most stable polymorph in this dataset, meV/atom: 289

Cell and atoms, written as CIF:
```
data_TbBeAsO
_chemical_formula_sum 'Tb2 Be2 As2 O2'
_cell_length_a 3.088
_cell_length_b 5.421
_cell_length_c 7.031
_cell_angle_alpha 90.00
_cell_angle_beta 90.00
_cell_angle_gamma 90.00
_symmetry_space_group_name_H-M 'P 1'
_symmetry_Int_Tables_number 1
_symmetry_space_group_name_Hall 'P 1'
loop_
_atom_site_label
_atom_site_type_symbol
_atom_site_fract_x
_atom_site_fract_y
_atom_site_fract_z
Tb1 Tb 0.000 0.158 0.000
Tb2 Tb 0.000 0.842 0.500
Be1 Be 0.500 0.300 0.352
Be2 Be 0.500 0.700 0.852
As1 As 0.500 0.346 0.671
As2 As 0.500 0.654 0.171
O1 O 0.000 0.180 0.316
O2 O 0.000 0.820 0.816
```

=====

Entry 3:
A plane-wave DFT calculation with PBE was carried out for crystalline TmTaN2O at its relaxed geometry.

Summary:
E_tot, eV per atom: -9.300
Space group: Pmma (51)

Cell and atoms, written as CIF:
```
data_TmTaN2O
_chemical_formula_sum 'Tm2 Ta2 N4 O2'
_cell_length_a 5.630
_cell_length_b 3.874
_cell_length_c 5.865
_cell_angle_alpha 90.00
_cell_angle_beta 90.00
_cell_angle_gamma 90.00
_symmetry_space_group_name_H-M 'P 1'
_symmetry_Int_Tables_number 1
_symmetry_space_group_name_Hall 'P 1'
loop_
_atom_site_label
_atom_site_type_symbol
_atom_site_fract_x
_atom_site_fract_y
_atom_site_fract_z
Tm1 Tm 0.250 0.000 0.186
Tm2 Tm 0.750 0.000 0.814
Ta1 Ta 0.250 0.500 0.725
Ta2 Ta 0.750 0.500 0.275
N1 N 0.000 0.500 0.500
N2 N 0.250 0.000 0.813
N3 N 0.500 0.500 0.500
N4 N 0.750 0.000 0.187
O1 O 0.000 0.500 0.000
O2 O 0.500 0.500 0.000
```

=====

Entry 4:
A plane-wave DFT calculation with PBE was carried out for crystalline Y2Tm3Lu2Ni2Te2 at its relaxed geometry.

Summary:
E_tot, eV per atom: -5.481
Space group: Imm2 (44)
Energy above the most stable polymorph in this dataset, meV/atom: 5

Cell and atoms, written as CIF:
```
data_Y2Tm3Lu2Ni2Te2
_chemical_formula_sum 'Y2 Tm3 Lu2 Ni2 Te2'
_cell_length_a 9.248
_cell_length_b 9.248
_cell_length_c 9.248
_cell_angle_alpha 156.07
_cell_angle_beta 66.97
_cell_angle_gamma 118.50
_symmetry_space_group_name_H-M 'P 1'
_symmetry_Int_Tables_number 1
_symmetry_space_group_name_Hall 'P 1'
loop_
_atom_site_label
_atom_site_type_symbol
_atom_site_fract_x
_atom_site_fract_y
_atom_site_fract_z
Y1 Y 0.147 0.000 0.147
Y2 Y 0.853 0.000 0.853
Tm1 Tm 0.168 0.353 0.815
Tm2 Tm 0.232 0.732 0.500
Tm3 Tm 0.537 0.353 0.185
Lu1 Lu 0.514 0.148 0.365
Lu2 Lu 0.783 0.148 0.635
Ni1 Ni 0.403 0.663 0.741
Ni2 Ni 0.922 0.663 0.259
Te1 Te 0.498 0.498 0.000
Te2 Te 0.891 0.391 0.500
```

=====

Entry 5:
A plane-wave DFT calculation with PBE was carried out for crystalline ErIn2 at its relaxed geometry.

Summary:
E_tot, eV per atom: -3.633
Space group: Fd-3m (227)

Cell and atoms, written as CIF:
```
data_ErIn2
_chemical_formula_sum 'Er2 In4'
_cell_length_a 5.955
_cell_length_b 5.955
_cell_length_c 5.955
_cell_angle_alpha 60.00
_cell_angle_beta 60.00
_cell_angle_gamma 60.00
_symmetry_space_group_name_H-M 'P 1'
_symmetry_Int_Tables_number 1
_symmetry_space_group_name_Hall 'P 1'
loop_
_atom_site_label
_atom_site_type_symbol
_atom_site_fract_x
_atom_site_fract_y
_atom_site_fract_z
Er1 Er 0.125 0.125 0.125
Er2 Er 0.875 0.875 0.875
In1 In 0.000 0.500 0.500
In2 In 0.500 0.000 0.500
In3 In 0.500 0.500 0.000
In4 In 0.500 0.500 0.500
```

=====

Entry 6:
A plane-wave DFT calculation with PBE was carried out for crystalline LiScTlCo at its relaxed geometry.

Summary:
E_tot, eV per atom: -4.334
Space group: F-43m (216)
Energy above the most stable polymorph in this dataset, meV/atom: 197

Cell and atoms, written as CIF:
```
data_LiScTlCo
_chemical_formula_sum 'Li1 Sc1 Tl1 Co1'
_cell_length_a 4.619
_cell_length_b 4.619
_cell_length_c 4.619
_cell_angle_alpha 60.00
_cell_angle_beta 60.00
_cell_angle_gamma 60.00
_symmetry_space_group_name_H-M 'P 1'
_symmetry_Int_Tables_number 1
_symmetry_space_group_name_Hall 'P 1'
loop_
_atom_site_label
_atom_site_type_symbol
_atom_site_fract_x
_atom_site_fract_y
_atom_site_fract_z
Li1 Li 0.000 0.000 0.000
Sc1 Sc 0.250 0.250 0.250
Tl1 Tl 0.500 0.500 0.500
Co1 Co 0.750 0.750 0.750
```